(1)
VASP calculation (PBE) on a relaxed K4NiBr5 crystal.

Cell: 10.044 10.044 6.670 Å, 90.00 90.00 90.00°
Space group I4 (No. 79)
Inequivalent atoms, fractional coordinates:
K  0.093  0.297  0.000 x8
Ni  0.000  0.000  0.443 x2
Br  0.000  0.000  0.068 x2
Br  0.083  0.259  0.504 x8

Raw formation energy = -1.2760 eV/atom
Total DFT energy (no corrections) = -3.130 eV/atom


(2)
VASP calculation (PBE) on a relaxed KNi2Br crystal.

Cell: 3.382 3.382 7.324 Å, 90.00 90.00 90.00°
Space group P4mm (No. 99)
Inequivalent atoms, fractional coordinates:
K  0.000  0.000  0.000 x1
Ni  0.000  0.000  0.441 x1
Ni  0.500  0.500  0.356 x1
Br  0.500  0.500  0.707 x1

Raw formation energy = 0.1795 eV/atom
Total DFT energy (no corrections) = -3.404 eV/atom


(3)
VASP calculation (PBE) on a relaxed KNiBr crystal.

Cell: 12.571 3.593 7.101 Å, 90.00 96.38 90.00°
Space group C2/m (No. 12)
Inequivalent atoms, fractional coordinates:
K  0.104  0.000  0.287 x4
Ni  0.209  0.000  0.903 x4
Br  0.125  0.500  0.705 x4

Raw formation energy = -0.4018 eV/atom
Total DFT energy (no corrections) = -3.252 eV/atom


(4)
VASP calculation (PBE) on a relaxed KNi2Br crystal.

Cell: 3.307 4.686 5.712 Å, 90.00 90.00 90.00°
Space group Pmmm (No. 47)
Inequivalent atoms, fractional coordinates:
K  0.000  0.000  0.000 x1
Ni  0.000  0.500  0.500 x1
Ni  0.500  0.000  0.500 x1
Br  0.500  0.500  0.000 x1

Raw formation energy = 0.5842 eV/atom
Total DFT energy (no corrections) = -2.999 eV/atom


(5)
VASP calculation (PBE) on a relaxed KNi2Br crystal.

Cell: 3.530 6.116 9.320 Å, 90.00 90.00 90.00°
Space group Imm2 (No. 44)
Inequivalent atoms, fractional coordinates:
K  0.000  0.000  0.000 x2
Ni  0.000  0.000  0.500 x2
Ni  0.000  0.500  0.151 x2
Br  0.000  0.500  0.817 x2

Raw formation energy = 0.2632 eV/atom
Total DFT energy (no corrections) = -3.320 eV/atom


(6)
VASP calculation (PBE) on a relaxed KNiBr crystal.

Cell: 4.712 5.711 6.939 Å, 105.84 97.17 105.44°
Space group P1 (No. 1)
Inequivalent atoms, fractional coordinates:
K  0.000  0.000  0.000 x1
K  0.353  0.752  0.443 x1
Ni  0.562  0.348  0.697 x1
Ni  0.713  0.330  0.373 x1
Br  0.029  0.262  0.620 x1
Br  0.653  0.453  0.083 x1

Raw formation energy = -0.2992 eV/atom
Total DFT energy (no corrections) = -3.150 eV/atom


(7)
VASP calculation (PBE) on a relaxed K3NiBr6 crystal.

Cell: 13.471 17.214 6.760 Å, 90.00 90.00 90.00°
Space group Cmc2_1 (No. 36)
Inequivalent atoms, fractional coordinates:
K  0.000  0.108  0.000 x4
K  0.188  0.387  0.960 x8
Ni  0.000  0.309  0.409 x4
Br  0.000  0.284  0.752 x4
Br  0.000  0.435  0.271 x4
Br  0.140  0.244  0.279 x8
Br  0.164  0.005  0.727 x8

Raw formation energy = -1.0897 eV/atom
Total DFT energy (no corrections) = -3.001 eV/atom


(8)
VASP calculation (PBE) on a relaxed KNiBr crystal.

Cell: 4.348 9.694 8.630 Å, 90.00 90.00 90.00°
Space group Amm2 (No. 38)
Inequivalent atoms, fractional coordinates:
K  0.000  0.234  0.000 x4
Ni  0.000  0.000  0.271 x2
Ni  0.500  0.000  0.123 x2
Br  0.500  0.000  0.382 x2
Br  0.500  0.000  0.856 x2

Raw formation energy = -0.3951 eV/atom
Total DFT energy (no corrections) = -3.246 eV/atom


(9)
VASP calculation (PBE) on a relaxed KNiBr crystal.

Cell: 3.668 3.668 11.452 Å, 90.00 90.00 90.00°
Space group I4mm (No. 107)
Inequivalent atoms, fractional coordinates:
K  0.000  0.000  0.000 x2
Ni  0.000  0.000  0.266 x2
Br  0.000  0.000  0.731 x2

Raw formation energy = 0.0528 eV/atom
Total DFT energy (no corrections) = -2.798 eV/atom


(10)
VASP calculation (PBE) on a relaxed KNi2Br crystal.

Cell: 4.719 4.196 5.070 Å, 90.00 90.24 90.00°
Space group P2/m (No. 10)
Inequivalent atoms, fractional coordinates:
K  0.000  0.000  0.000 x1
Ni  0.243  0.500  0.502 x2
Br  0.500  0.000  0.500 x1

Raw formation energy = 0.2589 eV/atom
Total DFT energy (no corrections) = -3.324 eV/atom


(11)
VASP calculation (PBE) on a relaxed KNi2Br crystal.

Cell: 5.714 9.084 3.176 Å, 90.00 90.00 90.00°
Space group Cmmm (No. 65)
Inequivalent atoms, fractional coordinates:
K  0.000  0.000  0.000 x2
Ni  0.250  0.250  0.500 x4
Br  0.000  0.500  0.000 x2

Raw formation energy = 0.8439 eV/atom
Total DFT energy (no corrections) = -2.739 eV/atom


(12)
VASP calculation (PBE) on a relaxed KNiBr crystal.

Cell: 3.640 6.141 7.875 Å, 101.39 90.05 107.20°
Space group P1 (No. 1)
Inequivalent atoms, fractional coordinates:
K  0.000  0.000  0.000 x1
K  0.339  0.680  0.529 x1
Ni  0.085  0.167  0.574 x1
Ni  0.655  0.307  0.768 x1
Br  0.262  0.521  0.936 x1
Br  0.578  0.154  0.364 x1

Raw formation energy = -0.3901 eV/atom
Total DFT energy (no corrections) = -3.241 eV/atom